# AcPm2Cd2

A relaxed AcPm2Cd2 crystal (PBE, the Alexandria database).

Summary:
The density of states at the Fermi level comes out at 1.5014 states/eV/atom. The calculation puts the offset from the most stable computed form at 175.0 meV/atom. The formation energy is -29 kJ/mol of formula units. The value obtained for the raw total energy is -3.15 eV per atom.

Cell lengths 5.5202, 5.5202, 6.5247 Å; angles 90.00, 90.00, 120.00 degrees
Last column: nearest neighbours and their distance in Å.
Space group P-3m1 (No. 164)
Symmetry-distinct sites (fractional):
Ac: 0.0000 0.0000 0.0000 x1  6 Cd 3.36
Pm: 0.3333 0.6667 0.6508 x2  5 Cd 3.18-3.41
Cd: 0.3333 0.6667 0.1636 x2  5 Pm 3.18-3.41, 3 Ac 3.36


# Ca2SnAs

A relaxed Ca2SnAs crystal (PBE, the Alexandria database).

Summary:
The density of states at the Fermi level comes out at 0.4744 states/eV/atom. The calculation puts the offset from the most stable computed form at 0.0 meV/atom. The formation energy is -296 kJ/mol of formula units. The value obtained for the raw total energy is -3.93 eV per atom.

Cell lengths 3.5111, 3.5111, 8.4684 Å; angles 90.00, 90.00, 90.00 degrees
Last column: nearest neighbours and their distance in Å.
Space group P4/mmm (No. 123)
Symmetry-distinct sites (fractional):
Ca: 0.0000 0.0000 0.2173 x2  4 As 3.09, 4 Sn 3.45
Sn: 0.5000 0.5000 0.5000 x1  8 Ca 3.45, 4 Sn 3.51
As: 0.5000 0.5000 0.0000 x1  8 Ca 3.09


# Nd4DyTm4

A relaxed Nd4DyTm4 crystal (PBE, the Alexandria database).

Summary:
The density of states at the Fermi level comes out at 1.3969 states/eV/atom. The calculation puts the offset from the most stable computed form at 755.7 meV/atom. The formation energy is 678 kJ/mol of formula units. The value obtained for the raw total energy is -3.84 eV per atom.

Cell lengths 6.0932, 6.0932, 18.9927 Å; angles 90.00, 90.00, 90.00 degrees
Last column: nearest neighbours and their distance in Å.
Space group I-42m (No. 121)
Symmetry-distinct sites (fractional):
Nd: 0.0000 0.0000 0.1460 x4  1 Dy 2.77, 2 Tm 2.96
Nd: 0.0000 0.5000 0.0000 x4  2 Dy 3.05
Dy: 0.0000 0.0000 0.0000 x2  6 Nd 2.77-3.05
Tm: 0.1795 0.1795 0.2983 x8  2 Nd 2.96-3.28, 1 Tm 3.09


# CrGaNi3

A relaxed CrGaNi3 crystal (PBE, the Alexandria database).

Summary:
The density of states at the Fermi level comes out at 0.5975 states/eV/atom. The calculation puts the offset from the most stable computed form at 0.0 meV/atom. The formation energy is 381 kJ/mol of formula units. The value obtained for the raw total energy is -5.21 eV per atom.

Cell lengths 4.3038, 4.3038, 4.3038 Å; angles 90.00, 90.00, 90.00 degrees
Last column: nearest neighbours and their distance in Å.
Space group Pm-3m (No. 221)
Symmetry-distinct sites (fractional):
Cr: 0.0000 0.0000 0.0000 x1  12 Ni 3.04
Ga: 0.5000 0.5000 0.5000 x1  6 Ni 2.15
Ni: 0.0000 0.5000 0.5000 x3  2 Ga 2.15


# LaHo2Th6

A relaxed LaHo2Th6 crystal (PBE, the Alexandria database).

Summary:
The density of states at the Fermi level comes out at 1.5497 states/eV/atom. The formation energy is 74 kJ/mol of formula units. The value obtained for the raw total energy is -6.43 eV per atom.

Cell lengths 3.5409, 3.5409, 27.1098 Å; angles 90.00, 90.00, 120.00 degrees
Last column: nearest neighbours and their distance in Å.
Space group P-6m2 (No. 187)
Symmetry-distinct sites (fractional):
La: 0.0000 0.0000 0.0000 x1  6 La 3.54, 6 Th 3.72
Ho: 0.6667 0.3333 0.3312 x2  6 Ho 3.54, 6 Th 3.56-3.58
Th: 0.0000 0.0000 0.2226 x2  9 Th 3.54-3.57, 3 Ho 3.58
Th: 0.0000 0.0000 0.4387 x2  7 Th 3.32-3.54, 3 Ho 3.56
Th: 0.6667 0.3333 0.1145 x2  9 Th 3.54-3.57, 3 La 3.72


# SnI2NO

A relaxed SnI2NO crystal (PBE, the Alexandria database).

Summary:
The density of states at the Fermi level comes out at 1.2421 states/eV/atom. The calculation puts the offset from the most stable computed form at 380.7 meV/atom. Its formation energy (no corrections) is 105 kJ/mol of atoms. The value obtained for the raw total energy is -2.99 eV per atom.

Cell lengths 6.0027, 6.0027, 3.9900 Å; angles 90.00, 90.00, 90.00 degrees
Last column: nearest neighbours and their distance in Å.
Space group P4/mmm (No. 123)
Symmetry-distinct sites (fractional):
Sn: 0.0000 0.0000 0.0000 x1  2 N 1.99
I: 0.0000 0.5000 0.0000 x2  2 Sn 3.00
N: 0.0000 0.0000 0.5000 x1  2 Sn 1.99
O: 0.5000 0.5000 0.5000 x1  8 I 3.60, 2 O 3.99


# Ce2Pr3Y6Th

A relaxed Ce2Pr3Y6Th crystal (PBE, the Alexandria database).

Summary:
The density of states at the Fermi level comes out at 1.7631 states/eV/atom. The formation energy is 48 kJ/mol of formula units. The value obtained for the raw total energy is -5.99 eV per atom.

Cell lengths 6.2333, 10.7988, 11.8295 Å; angles 90.00, 100.14, 90.00 degrees
Last column: nearest neighbours and their distance in Å.
Space group C2/m (No. 12)
Symmetry-distinct sites (fractional):
Ce: 0.0000 0.1667 0.0000 x4  6 Y 3.51, 3 Ce 3.60, 3 Th 3.60
Pr: 0.0000 0.0000 0.5000 x2  6 Pr 3.60, 6 Y 3.64-3.65
Pr: 0.0000 0.3332 0.5000 x4  6 Pr 3.60, 6 Y 3.64-3.65
Y: 0.2471 0.3342 0.2430 x8  1 Th 3.50, 2 Ce 3.51, 6 Y 3.58-3.61, 3 Pr 3.64-3.65
Y: 0.2495 0.0000 0.2429 x4  1 Th 3.50, 2 Ce 3.51, 6 Y 3.58-3.61, 3 Pr 3.64-3.65
Th: 0.0000 0.5000 0.0000 x2  6 Y 3.50, 6 Ce 3.60


# La2Tb2Pr7

A relaxed La2Tb2Pr7 crystal (PBE, the Alexandria database).

Summary:
The density of states at the Fermi level comes out at 1.4709 states/eV/atom. The calculation puts the offset from the most stable computed form at 0.0 meV/atom. The formation energy is 139 kJ/mol of formula units. The value obtained for the raw total energy is -4.65 eV per atom.

Cell lengths 11.7973, 11.7226, 6.1941 Å; angles 90.00, 111.96, 90.00 degrees
Last column: nearest neighbours and their distance in Å.
Space group C2/m (No. 12)
Symmetry-distinct sites (fractional):
La: 0.2268 0.0000 0.1029 x4  7 Pr 3.47-3.83, 2 Tb 3.59
Tb: 0.0000 0.2195 0.0000 x4  6 Pr 3.43-3.72, 2 La 3.59
Pr: 0.0000 0.0000 0.5000 x2  4 Pr 3.35, 2 La 3.69
Pr: 0.0754 0.5000 0.3005 x4  6 Pr 3.47-3.88, 2 La 3.56-3.83, 2 Tb 3.72
Pr: 0.1824 0.2280 0.6791 x8  2 Pr 3.22-3.35, 2 Tb 3.43-3.58, 1 La 3.47


Repeat the third record exactly.
# Nd4DyTm4

A relaxed Nd4DyTm4 crystal (PBE, the Alexandria database).

Summary:
The density of states at the Fermi level comes out at 1.3969 states/eV/atom. The calculation puts the offset from the most stable computed form at 755.7 meV/atom. The formation energy is 678 kJ/mol of formula units. The value obtained for the raw total energy is -3.84 eV per atom.

Cell lengths 6.0932, 6.0932, 18.9927 Å; angles 90.00, 90.00, 90.00 degrees
Last column: nearest neighbours and their distance in Å.
Space group I-42m (No. 121)
Symmetry-distinct sites (fractional):
Nd: 0.0000 0.0000 0.1460 x4  1 Dy 2.77, 2 Tm 2.96
Nd: 0.0000 0.5000 0.0000 x4  2 Dy 3.05
Dy: 0.0000 0.0000 0.0000 x2  6 Nd 2.77-3.05
Tm: 0.1795 0.1795 0.2983 x8  2 Nd 2.96-3.28, 1 Tm 3.09